1.
Material: TbDy2Zn9
Method: DFT, PBE
State: relaxed

Cell: 9.133 9.133 9.133 Å, 34.65 34.65 34.65°
Sites, in units of the cell vectors:
Tb  0.000  0.000  0.000
Dy  0.140  0.140  0.140
Dy  0.860  0.860  0.860
Zn  0.077  0.585  0.585
Zn  0.335  0.335  0.335
Zn  0.415  0.415  0.923
Zn  0.415  0.923  0.415
Zn  0.500  0.500  0.500
Zn  0.585  0.077  0.585
Zn  0.585  0.585  0.077
Zn  0.665  0.665  0.665
Zn  0.923  0.415  0.415

Energy of formation from the pure elements in eV/atom: -0.316
VASP energy in eV/atom: -2.424
Symmetry: R-3m, No. 166
DOS at the Fermi energy in states/eV per atom: 0.5416

2.
Material: Tb2DyZn3
Method: DFT, PBE
State: relaxed

Cell: 3.582 3.582 10.721 Å, 90.00 90.00 90.00°
Sites, in units of the cell vectors:
Tb  0.000  0.000  0.167
Tb  0.000  0.000  0.833
Dy  0.000  0.000  0.500
Zn  0.500  0.500  0.000
Zn  0.500  0.500  0.335
Zn  0.500  0.500  0.665

Energy of formation from the pure elements in eV/atom: -0.338
VASP energy in eV/atom: -3.285
Symmetry: P4/mmm, No. 123
DOS at the Fermi energy in states/eV per atom: 1.1729

- Which of these has the lowest VASP energy?
  Tb2DyZn3

- Which value of DOS at the Fermi energy does entry 1 give?
  0.5416 states/eV per atom

- Which of these has the highest energy of formation from the pure elements?
  TbDy2Zn9

- The highest VASP energy belongs to which entry?
  TbDy2Zn9